1.
## La2AlSe (PBE-GGA)

Data for crystalline La2AlSe at its relaxed geometry.

## Properties
crystal system: orthorhombic
relative energy among the computed polymorphs: 0.2823 eV/atom
Fermi-level density of states: 1.00 states/eV per atom
symmetry: No. 44
E_form (uncorrected): -0.887 eV/atom

abc: 8.5809 8.5809 8.5809
angles: 154.15 153.59 37.29
Fractional positions:
La 0.0000 0.0000 0.0000
La 0.7353 0.2353 0.5000
Al 0.3942 0.3942 0.0000
Se 0.1506 0.6506 0.5000



2.
## SmHo2Ni (PBE-GGA)

Data for crystalline SmHo2Ni at its relaxed geometry.

## Properties
crystal system: trigonal
relative energy among the computed polymorphs: 0.1190 eV/atom
Fermi-level density of states: 1.12 states/eV per atom
symmetry: No. 160
DFT formation energy: -0.12 eV per atom

abc: 9.1428 9.1428 9.1428
angles: 24.06 24.06 24.06
Fractional positions:
Sm 0.0000 0.0000 0.0000
Ho 0.2269 0.2269 0.2269
Ho 0.4442 0.4442 0.4442
Ni 0.8363 0.8363 0.8363



3.
## MgBeZn2 (PBE-GGA)

Data for crystalline MgBeZn2 at its relaxed geometry.

## Properties
crystal system: monoclinic
relative energy among the computed polymorphs: 0.0689 eV/atom
Fermi-level density of states: 0.10 states/eV per atom
symmetry: No. 8
DFT formation energy: 0.18 eV per atom

abc: 4.6259 4.6259 4.8433
angles: 103.42 103.42 36.45
Fractional positions:
Mg 0.0000 0.0000 0.0000
Be 0.2460 0.2460 0.7225
Zn 0.5206 0.5206 0.5280
Zn 0.7681 0.7681 0.2933



- Which formula does entry 1 have?
  La2AlSe